ZrAl2Re: optimized geometry, PBE.

abc: 3.518 4.353 4.366
angles: 90.00 90.00 90.00
Element x y z (fractional)
Zr (0.000, 0.500, 0.500)
Al (0.500, 0.500, 0.000)
Al (0.000, 0.000, 0.000)
Re (0.500, 0.000, 0.500)

Properties
Total magnetic moment   0.000 μB per atom
Calculated density   8.2 g/cm3
ΔE to the lowest computed polymorph   0.0 meV per atom

---

ZrAl2Re: optimized geometry, PBE.

abc: 4.331 2.831 5.640
angles: 76.09 90.00 90.00
Element x y z (fractional)
Zr (0.500, 0.750, 0.750)
Al (0.000, 0.065, 0.022)
Al (0.000, 0.435, 0.478)
Re (0.500, 0.250, 0.250)

Properties
Total magnetic moment   0.000 μB per atom
Calculated density   8.2 g/cm3
ΔE to the lowest computed polymorph   36.0 meV per atom

---

ZrAlRe3: optimized geometry, PBE.

abc: 4.493 4.493 4.493
angles: 90.00 90.00 90.00
Last column: magnetic moment on the atom in μB.
Element x y z (fractional)
Al (0.000, 0.000, 0.000)  -0.01
Zr (0.500, 0.500, 0.500)  0.08
Re (0.000, 0.000, 0.500)  0.45
Re (0.500, 0.000, 0.000)  0.25
Re (0.000, 0.500, 0.000)  0.41

Properties
Total magnetic moment   0.278 μB per atom
Calculated density   12.4 g/cm3
ΔE to the lowest computed polymorph   0.0 meV per atom

---

Zr2AlRe: optimized geometry, PBE.

abc: 2.925 2.925 9.360
angles: 90.00 90.00 110.53
Element x y z (fractional)
Al (0.000, 0.000, 0.524)
Re (0.500, 0.500, 0.737)
Zr (0.000, 0.000, 0.971)
Zr (0.500, 0.500, 0.268)

Properties
Uncorrected energy   -8.3439 eV/atom
Total magnetic moment   0.000 μB per atom
Calculated density   8.8 g/cm3

---

ZrAl2Re: optimized geometry, PBE.

abc: 3.909 3.909 10.068
angles: 78.81 78.81 90.00
Element x y z (fractional)
Re (0.000, 0.000, 0.000)
Re (0.750, 0.250, 0.500)
Zr (0.500, 0.500, 0.000)
Zr (0.250, 0.750, 0.500)
Al (0.107, 0.625, 0.250)
Al (0.643, 0.125, 0.250)
Al (0.375, 0.357, 0.750)
Al (0.875, 0.893, 0.750)

Properties
Total magnetic moment   0.000 μB per atom
Calculated density   7.4 g/cm3
ΔE to the lowest computed polymorph   461.9 meV per atom

---

Zr2AlRe: optimized geometry, PBE.

abc: 2.987 2.987 9.074
angles: 90.00 90.00 110.24
Element x y z (fractional)
Al (0.500, 0.500, 0.250)
Zr (0.000, 0.000, 0.514)
Zr (0.000, 0.000, 0.986)
Re (0.500, 0.500, 0.750)

Properties
Uncorrected energy   -8.4635 eV/atom
Total magnetic moment   0.000 μB per atom
Calculated density   8.6 g/cm3

---

no.,volume (Å³ per cell)
1,66.9
2,67.1
3,90.7
4,75.0
5,147.9
6,76.0